1.
DFT (GGA-PBE) results for an optimized crystal structure of TiBe2Cl.

Summary:
DOS(E_F) ... 6.43 states/eV/cell
Energy above the lowest structure with this stoichiometry ... 0.000 eV per atom
Mass density ... 3.09 g cm⁻³
Energy relative to the elements, uncorrected ... 0.4262 eV per atom

Unit cell a=6.8379 b=6.8379 c=5.3682 alpha=50.44 beta=50.44 gamma=90.00
Atoms (fractional coordinates):
Be 0.5963 0.1250 0.2500
Be 0.1537 0.6250 0.2500
Be 0.3750 0.4037 0.7500
Be 0.8750 0.8463 0.7500
Cl 0.5000 0.5000 0.0000
Cl 0.2500 0.7500 0.5000
Ti 0.0000 0.0000 0.0000
Ti 0.7500 0.2500 0.5000

=====

2.
DFT (GGA-PBE) results for an optimized crystal structure of TiBeCl2.

Summary:
DOS(E_F) ... 5.86 states/eV/cell
Energy above the lowest structure with this stoichiometry ... 0.403 eV per atom
Mass density ... 2.92 g cm⁻³
Energy relative to the elements, uncorrected ... -0.0034 eV per atom

Unit cell a=5.3932 b=5.3932 c=6.2814 alpha=64.58 beta=64.58 gamma=90.00
Atoms (fractional coordinates):
Be 0.5000 0.5000 0.0000
Be 0.2500 0.7500 0.5000
Cl 0.5556 0.1250 0.2500
Cl 0.1944 0.6250 0.2500
Cl 0.3750 0.4444 0.7500
Cl 0.8750 0.8056 0.7500
Ti 0.0000 0.0000 0.0000
Ti 0.7500 0.2500 0.5000

=====

3.
DFT (GGA-PBE) results for an optimized crystal structure of TiBeCl2.

Summary:
DOS(E_F) ... 2.31 states/eV/cell
Energy above the lowest structure with this stoichiometry ... 0.000 eV per atom
Mass density ... 3.07 g cm⁻³
Energy relative to the elements, uncorrected ... -0.4066 eV per atom

Unit cell a=8.5643 b=8.5643 c=8.5643 alpha=20.77 beta=20.77 gamma=20.77
Atoms (fractional coordinates):
Be 0.0000 0.0000 0.0000
Cl 0.9010 0.9010 0.9010
Cl 0.0990 0.0990 0.0990
Ti 0.5000 0.5000 0.5000

=====

4.
DFT (GGA-PBE) results for an optimized crystal structure of TiBeCl2.

Summary:
DOS(E_F) ... 3.00 states/eV/cell
Energy above the lowest structure with this stoichiometry ... 0.502 eV per atom
Mass density ... 3.42 g cm⁻³
Energy relative to the elements, uncorrected ... 0.0949 eV per atom

Unit cell a=4.4437 b=4.4437 c=4.4437 alpha=60.00 beta=60.00 gamma=60.00
Atoms (fractional coordinates):
Be 0.0000 0.0000 0.0000
Cl 0.2500 0.2500 0.2500
Cl 0.7500 0.7500 0.7500
Ti 0.5000 0.5000 0.5000

=====

5.
DFT (GGA-PBE) results for an optimized crystal structure of TiBeV2Cl.

Summary:
DOS(E_F) ... 7.58 states/eV/cell
Mass density ... 3.27 g cm⁻³
Energy relative to the elements, uncorrected ... 1.3324 eV per atom

Unit cell a=4.6784 b=4.5060 c=4.6784 alpha=90.00 beta=90.00 gamma=90.00
Atoms (fractional coordinates):
Cl 0.0000 0.5000 0.0000
Ti 0.0000 0.0000 0.0000
Be 0.5000 0.5000 0.5000
V 0.0000 0.0000 0.5000
V 0.5000 0.0000 0.0000

=====

6.
DFT (GGA-PBE) results for an optimized crystal structure of YTiBe2Cl.

Summary:
DOS(E_F) ... 5.25 states/eV/cell
Mass density ... 2.36 g cm⁻³
Energy relative to the elements, uncorrected ... 1.6740 eV per atom

Unit cell a=5.1630 b=5.0221 c=5.1630 alpha=90.00 beta=90.00 gamma=90.00
Atoms (fractional coordinates):
Y 0.0000 0.0000 0.0000
Be 0.0000 0.0000 0.5000
Be 0.5000 0.0000 0.0000
Cl 0.5000 0.5000 0.5000
Ti 0.0000 0.5000 0.0000

=====

7.
DFT (GGA-PBE) results for an optimized crystal structure of BeTl2Cl.

Summary:
DOS(E_F) ... 0.72 states/eV/cell
Energy above the lowest structure with this stoichiometry ... 0.123 eV per atom
Mass density ... 7.30 g cm⁻³
Energy relative to the elements, uncorrected ... 0.0059 eV per atom

Unit cell a=5.1854 b=3.8309 c=5.1878 alpha=89.99 beta=90.00 gamma=90.00
Atoms (fractional coordinates):
Be 0.0000 0.2497 0.3755
Tl 0.0000 0.2455 0.8753
Tl 0.5000 0.2546 0.3750
Cl 0.5000 0.7503 0.8741

=====

8.
DFT (GGA-PBE) results for an optimized crystal structure of BeTl2Cl.

Summary:
DOS(E_F) ... 1.69 states/eV/cell
Energy above the lowest structure with this stoichiometry ... 0.217 eV per atom
Mass density ... 6.87 g cm⁻³
Energy relative to the elements, uncorrected ... 0.1001 eV per atom

Unit cell a=3.8755 b=3.8755 c=7.2888 alpha=90.00 beta=90.00 gamma=90.00
Atoms (fractional coordinates):
Be 0.0000 0.0000 0.3517
Tl 0.0000 0.0000 0.9772
Tl 0.5000 0.5000 0.3737
Cl 0.5000 0.5000 0.7974

=====

9.
DFT (GGA-PBE) results for an optimized crystal structure of BeTl2Cl.

Summary:
DOS(E_F) ... 1.16 states/eV/cell
Energy above the lowest structure with this stoichiometry ... 0.241 eV per atom
Mass density ... 7.73 g cm⁻³
Energy relative to the elements, uncorrected ... 0.1244 eV per atom

Unit cell a=3.8790 b=3.8790 c=7.7515 alpha=76.47 beta=76.47 gamma=60.12
Atoms (fractional coordinates):
Be 0.7500 0.7500 0.7500
Tl 0.0189 0.0189 0.9538
Tl 0.4811 0.4811 0.5462
Cl 0.2500 0.2500 0.2500

=====

10.
DFT (GGA-PBE) results for an optimized crystal structure of BeTl2Cl.

Summary:
DOS(E_F) ... 1.45 states/eV/cell
Energy above the lowest structure with this stoichiometry ... 0.333 eV per atom
Mass density ... 6.96 g cm⁻³
Energy relative to the elements, uncorrected ... 0.2160 eV per atom

Unit cell a=6.6800 b=6.6800 c=6.6800 alpha=142.81 beta=142.81 gamma=53.60
Atoms (fractional coordinates):
Be 0.5000 0.5000 0.0000
Tl 0.0000 0.0000 0.0000
Tl 0.2500 0.7500 0.5000
Cl 0.7500 0.2500 0.5000

=====

11.
DFT (GGA-PBE) results for an optimized crystal structure of BeTl2Cl.

Summary:
DOS(E_F) ... 1.86 states/eV/cell
Energy above the lowest structure with this stoichiometry ... 0.380 eV per atom
Mass density ... 7.27 g cm⁻³
Energy relative to the elements, uncorrected ... 0.2631 eV per atom

Unit cell a=5.5282 b=5.5282 c=5.5282 alpha=127.36 beta=127.36 gamma=77.66
Atoms (fractional coordinates):
Be 0.2500 0.7500 0.5000
Tl 0.0000 0.0000 0.0000
Tl 0.5000 0.5000 0.0000
Cl 0.7500 0.2500 0.5000

=====

12.
DFT (GGA-PBE) results for an optimized crystal structure of BeTl2Cl.

Summary:
DOS(E_F) ... 1.27 states/eV/cell
Energy above the lowest structure with this stoichiometry ... 0.050 eV per atom
Mass density ... 7.33 g cm⁻³
Energy relative to the elements, uncorrected ... -0.0663 eV per atom

Unit cell a=6.2345 b=6.2345 c=6.2345 alpha=150.10 beta=120.68 gamma=67.85
Atoms (fractional coordinates):
Be 0.4669 0.4669 0.0000
Tl 0.0037 0.0037 0.0000
Tl 0.6893 0.1893 0.5000
Cl 0.3400 0.8400 0.5000

=====

13.
DFT (GGA-PBE) results for an optimized crystal structure of BeTl2Cl.

Summary:
DOS(E_F) ... 0.73 states/eV/cell
Energy above the lowest structure with this stoichiometry ... 0.241 eV per atom
Mass density ... 7.64 g cm⁻³
Energy relative to the elements, uncorrected ... 0.1241 eV per atom

Unit cell a=5.9586 b=5.9586 c=5.1271 alpha=90.02 beta=90.02 gamma=32.76
Atoms (fractional coordinates):
Be 0.4975 0.4975 0.6244
Tl 0.9994 0.9994 0.1244
Tl 0.7446 0.7446 0.6255
Cl 0.2586 0.2586 0.1257

=====

14.
DFT (GGA-PBE) results for an optimized crystal structure of BeTl2Cl.

Summary:
DOS(E_F) ... 1.94 states/eV/cell
Energy above the lowest structure with this stoichiometry ... 0.229 eV per atom
Mass density ... 6.05 g cm⁻³
Energy relative to the elements, uncorrected ... 0.1124 eV per atom

Unit cell a=6.1650 b=6.1650 c=7.8635 alpha=66.92 beta=66.92 gamma=90.00
Atoms (fractional coordinates):
Be 0.5000 0.5000 0.0000
Be 0.2500 0.7500 0.5000
Tl 0.5404 0.1250 0.2500
Tl 0.2096 0.6250 0.2500
Tl 0.3750 0.4596 0.7500
Tl 0.8750 0.7904 0.7500
Cl 0.0000 0.0000 0.0000
Cl 0.7500 0.2500 0.5000

=====

15.
DFT (GGA-PBE) results for an optimized crystal structure of BeTl2Cl.

Summary:
DOS(E_F) ... 4.31 states/eV/cell
Energy above the lowest structure with this stoichiometry ... 0.402 eV per atom
Mass density ... 7.25 g cm⁻³
Energy relative to the elements, uncorrected ... 0.2848 eV per atom

Unit cell a=5.2759 b=5.2759 c=5.2759 alpha=60.00 beta=60.00 gamma=60.00
Atoms (fractional coordinates):
Be 0.0000 0.0000 0.0000
Tl 0.2500 0.2500 0.2500
Tl 0.7500 0.7500 0.7500
Cl 0.5000 0.5000 0.5000

=====

16.
DFT (GGA-PBE) results for an optimized crystal structure of BeTlCl4.

Summary:
DOS(E_F) ... 0.59 states/eV/cell
Mass density ... 3.68 g cm⁻³
Energy relative to the elements, uncorrected ... 0.5137 eV per atom

Unit cell a=6.0994 b=6.0994 c=6.0994 alpha=60.00 beta=60.00 gamma=60.00
Atoms (fractional coordinates):
Be 0.0000 0.0000 0.0000
Tl 0.7500 0.7500 0.7500
Cl 0.8749 0.3750 0.3750
Cl 0.3750 0.3750 0.8749
Cl 0.3750 0.8749 0.3750
Cl 0.3750 0.3750 0.3750

=====

17.
DFT (GGA-PBE) results for an optimized crystal structure of BeTl2Cl5.

Summary:
DOS(E_F) ... 7.98 states/eV/cell
Mass density ... 4.24 g cm⁻³
Energy relative to the elements, uncorrected ... -0.8755 eV per atom

Unit cell a=6.7404 b=6.7400 c=6.9987 alpha=118.78 beta=118.78 gamma=90.00
Atoms (fractional coordinates):
Be 0.9603 0.9603 0.9205
Tl 0.2440 0.7441 0.4881
Tl 0.7440 0.2441 0.4881
Cl 0.7930 0.2390 0.0320
Cl 0.2390 0.2390 0.0320
Cl 0.7929 0.7930 0.0320
Cl 0.2391 0.7929 0.0320
Cl 0.7647 0.7646 0.5293

=====

18.
DFT (GGA-PBE) results for an optimized crystal structure of BeTl2Cl.

Summary:
DOS(E_F) ... 1.31 states/eV/cell
Energy above the lowest structure with this stoichiometry ... 0.303 eV per atom
Mass density ... 7.71 g cm⁻³
Energy relative to the elements, uncorrected ... 0.1858 eV per atom

Unit cell a=3.5824 b=3.5824 c=7.7007 alpha=90.00 beta=90.00 gamma=99.06
Atoms (fractional coordinates):
Be 0.5000 0.5000 0.2500
Tl 0.0000 0.0000 0.0297
Tl 0.0000 0.0000 0.4703
Cl 0.5000 0.5000 0.7500

=====

19.
DFT (GGA-PBE) results for an optimized crystal structure of Be4TlCl.

Summary:
DOS(E_F) ... 0.52 states/eV/cell
Mass density ... 5.50 g cm⁻³
Energy relative to the elements, uncorrected ... 0.6146 eV per atom

Unit cell a=4.9027 b=4.9027 c=4.9027 alpha=60.00 beta=60.00 gamma=60.00
Atoms (fractional coordinates):
Be 0.6305 0.6305 0.1086
Be 0.6305 0.1086 0.6305
Be 0.6305 0.6305 0.6305
Be 0.1086 0.6305 0.6305
Tl 0.0000 0.0000 0.0000
Cl 0.2500 0.2500 0.2500

=====

20.
DFT (GGA-PBE) results for an optimized crystal structure of BeTl2Cl.

Summary:
DOS(E_F) ... 1.34 states/eV/cell
Energy above the lowest structure with this stoichiometry ... 0.304 eV per atom
Mass density ... 7.66 g cm⁻³
Energy relative to the elements, uncorrected ... 0.1870 eV per atom

Unit cell a=3.6669 b=3.5192 c=8.2546 alpha=67.31 beta=90.00 gamma=90.00
Atoms (fractional coordinates):
Be 0.5000 0.2500 0.2500
Tl 0.0000 0.9785 0.0266
Tl 0.0000 0.5215 0.4734
Cl 0.5000 0.7500 0.7500

=====

21.
DFT (GGA-PBE) results for an optimized crystal structure of BeTl2Cl.

Summary:
DOS(E_F) ... 0.92 states/eV/cell
Energy above the lowest structure with this stoichiometry ... 0.000 eV per atom
Mass density ... 6.90 g cm⁻³
Energy relative to the elements, uncorrected ... -0.1167 eV per atom

Unit cell a=3.5966 b=3.5966 c=10.5054 alpha=90.00 beta=90.00 gamma=126.64
Atoms (fractional coordinates):
Be 0.0000 0.0000 0.5217
Tl 0.0000 0.0000 0.0246
Tl 0.5000 0.5000 0.3082
Cl 0.5000 0.5000 0.6456

=====

22.
DFT (GGA-PBE) results for an optimized crystal structure of BeTl3Cl5.

Summary:
DOS(E_F) ... 0.00 states/eV/cell
Mass density ... 5.16 g cm⁻³
Energy relative to the elements, uncorrected ... -1.1794 eV per atom

Unit cell a=8.6998 b=8.6998 c=9.1653 alpha=118.33 beta=118.33 gamma=90.00
Atoms (fractional coordinates):
Be 0.7500 0.2500 0.5000
Be 0.2500 0.7500 0.5000
Tl 0.6667 0.1667 0.0000
Tl 0.3333 0.8333 0.0000
Tl 0.8333 0.6667 0.0000
Tl 0.1667 0.3333 0.0000
Tl 0.2500 0.2500 0.5000
Tl 0.7500 0.7500 0.5000
Cl 0.9720 0.4720 0.6765
Cl 0.7045 0.2045 0.6765
Cl 0.2045 0.9720 0.6765
Cl 0.4720 0.7045 0.6765
Cl 0.0280 0.5280 0.3235
Cl 0.2955 0.7955 0.3235
Cl 0.7955 0.0280 0.3235
Cl 0.5280 0.2955 0.3235
Cl 0.5000 0.5000 0.0000
Cl 0.0000 0.0000 0.0000

=====

23.
DFT (GGA-PBE) results for an optimized crystal structure of BeTl2Cl.

Summary:
DOS(E_F) ... 1.42 states/eV/cell
Energy above the lowest structure with this stoichiometry ... 0.329 eV per atom
Mass density ... 7.08 g cm⁻³
Energy relative to the elements, uncorrected ... 0.2121 eV per atom

Unit cell a=6.4784 b=6.4784 c=6.4784 alpha=146.38 beta=134.64 gamma=57.63
Atoms (fractional coordinates):
Be 0.7500 0.2500 0.5000
Tl 0.9209 0.9209 0.0000
Tl 0.5791 0.5791 0.0000
Cl 0.2500 0.7500 0.5000

=====

24.
DFT (GGA-PBE) results for an optimized crystal structure of BeTl2Cl.

Summary:
DOS(E_F) ... 1.35 states/eV/cell
Energy above the lowest structure with this stoichiometry ... 0.195 eV per atom
Mass density ... 7.18 g cm⁻³
Energy relative to the elements, uncorrected ... 0.0778 eV per atom

Unit cell a=4.2160 b=4.2479 c=5.8512 alpha=90.00 beta=90.00 gamma=90.00
Atoms (fractional coordinates):
Be 0.0000 0.0000 0.3751
Tl 0.0000 0.0000 0.8749
Tl 0.5000 0.5000 0.3750
Cl 0.5000 0.5000 0.8750

=====

25.
DFT (GGA-PBE) results for an optimized crystal structure of BeTl2Cl.

Summary:
DOS(E_F) ... 3.96 states/eV/cell
Energy above the lowest structure with this stoichiometry ... 0.526 eV per atom
Mass density ... 7.14 g cm⁻³
Energy relative to the elements, uncorrected ... 0.4091 eV per atom

Unit cell a=5.3015 b=5.3015 c=5.3015 alpha=60.00 beta=60.00 gamma=60.00
Atoms (fractional coordinates):
Be 0.5000 0.5000 0.5000
Tl 0.0000 0.0000 0.0000
Tl 0.2500 0.2500 0.2500
Cl 0.7500 0.7500 0.7500

=====

26.
DFT (GGA-PBE) results for an optimized crystal structure of BeTl2Cl4.

Summary:
DOS(E_F) ... 0.00 states/eV/cell
Mass density ... 4.50 g cm⁻³
Energy relative to the elements, uncorrected ... -1.2384 eV per atom

Unit cell a=6.8002 b=6.8960 c=9.2767 alpha=90.00 beta=108.17 gamma=90.00
Atoms (fractional coordinates):
Be 0.3052 0.7500 0.2195
Be 0.6948 0.2500 0.7805
Tl 0.7146 0.7500 0.0366
Tl 0.2854 0.2500 0.9634
Tl 0.2146 0.2500 0.4286
Tl 0.7854 0.7500 0.5714
Cl 0.4930 0.5129 0.2789
Cl 0.1663 0.7500 0.9906
Cl 0.8337 0.2500 0.0094
Cl 0.4930 0.9871 0.2789
Cl 0.9039 0.2500 0.6641
Cl 0.5070 0.0129 0.7211
Cl 0.5070 0.4871 0.7211
Cl 0.0961 0.7500 0.3359

=====

27.
DFT (GGA-PBE) results for an optimized crystal structure of Be2TlVCl8.

Summary:
DOS(E_F) ... 4.30 states/eV/cell
Mass density ... 3.14 g cm⁻³
Energy relative to the elements, uncorrected ... -1.2410 eV per atom

Unit cell a=5.9690 b=5.9690 c=10.1392 alpha=72.88 beta=72.88 gamma=60.00
Atoms (fractional coordinates):
Be 0.2610 0.2610 0.2171
Be 0.7390 0.7390 0.7829
Tl 0.5000 0.5000 0.5000
V 0.0000 0.0000 0.0000
Cl 0.1924 0.1924 0.4229
Cl 0.6190 0.2690 0.1479
Cl 0.8076 0.8076 0.5771
Cl 0.9641 0.6190 0.1479
Cl 0.0359 0.3810 0.8521
Cl 0.2690 0.9641 0.1479
Cl 0.7310 0.0359 0.8521
Cl 0.3810 0.7310 0.8521

=====

Number 1: M_tot 0.00 μB per formula unit. Number 2: M_tot 2.70 μB per formula unit. Number 3: M_tot 0.00 μB per formula unit. Number 4: M_tot 0.89 μB per formula unit. Number 5: M_tot 4.64 μB per formula unit. Number 6: M_tot 0.00 μB per formula unit. Number 7: M_tot 0.00 μB per formula unit. Number 8: M_tot 0.00 μB per formula unit. Number 9: M_tot 0.00 μB per formula unit. Number 10: M_tot 0.00 μB per formula unit. Number 11: M_tot 0.00 μB per formula unit. Number 12: M_tot 0.00 μB per formula unit. Number 13: M_tot 0.00 μB per formula unit. Number 14: M_tot 0.97 μB per formula unit. Number 15: M_tot 0.00 μB per formula unit. Number 16: M_tot 3.03 μB per formula unit. Number 17: M_tot 0.32 μB per formula unit. Number 18: M_tot 0.00 μB per formula unit. Number 19: M_tot 0.00 μB per formula unit. Number 20: M_tot 0.00 μB per formula unit. Number 21: M_tot 0.00 μB per formula unit. Number 22: M_tot 0.00 μB per formula unit. Number 23: M_tot 0.00 μB per formula unit. Number 24: M_tot 0.00 μB per formula unit. Number 25: M_tot 0.00 μB per formula unit. Number 26: M_tot 0.00 μB per formula unit. Number 27: M_tot 2.00 μB per formula unit.